The following is a SCAN calculation of a PBEsol-optimized structure of ZrMoRu2, from Alexandria via LeMat-Bulk.

```
ZrMoRu2
1.0
-3.637 1.865 -1.742
-3.638 -2.453 -0.697
-3.607 0.612 2.520
Ru Zr Mo
2 1 1
direct
0.750 0.750 0.750
0.000 0.000 0.000
0.250 0.250 0.250
0.500 0.500 0.500
```

Computed properties:
Symmetry: F-43m
ΔE to the lowest computed polymorph (kJ/mol of formula units): 77.0

=====

The following is a SCAN calculation of a PBEsol-optimized structure of ZrMoRu2, from Alexandria via LeMat-Bulk.

```
ZrMoRu2
1.0
3.205 0.000 0.000
0.000 4.238 0.000
0.000 0.000 4.575
Ru Zr Mo
2 1 1
direct
0.500 0.000 0.500
0.000 0.000 0.000
0.500 0.500 0.000
0.000 0.500 0.500
```

Computed properties:
Symmetry: Pmmm
ΔE to the lowest computed polymorph (kJ/mol of formula units): 63.6

=====

The following is a SCAN calculation of a PBEsol-optimized structure of Zr2MoRu, from Alexandria via LeMat-Bulk.

```
Zr2MoRu
1.0
-0.164 2.651 1.685
-1.879 2.344 -0.935
-6.915 -1.554 4.707
Zr Mo Ru
2 1 1
direct
0.749 0.749 0.754
0.251 0.251 0.246
0.500 0.500 0.500
0.000 0.000 0.000
```

Computed properties:
Symmetry: R-3m
E (eV per atom): -32.729